Computed, not measured: a relaxed structure of In3Tc at the PBE level of DFT.

Output
calculated formation energy: 0.312 eV/atom
total moment: 0.00 μB per atom
calculated density: 9.106 g/cm3
calculated volume: 161.4 Å³/cell

Unit cell a=5.0285 b=5.8411 c=5.4941 alpha=90.00 beta=90.00 gamma=90.00
Space group Pmmn (No. 59, origin choice 2)
Inequivalent atoms, fractional coordinates:
In  0.2500  0.0041  0.1544
In  0.2500  0.7500  0.6178
Tc  0.2500  0.2500  0.6751